(1)
TlIrS2: relaxed, PBE-GGA.

a b c (Å): 3.6862 3.6862 7.2351
angles (deg): 90.00 90.00 120.00
With the nearest neighbours (Å) after each atom.
Space group P-3m1 (No. 164)
Unique sites:
1 Tl 0.0000 0.0000 0.0000  6 S 3.27, 2 Ir 3.62
2 Ir 0.0000 0.0000 0.5000  6 S 2.41
3 S 0.3333 0.6667 0.6561  3 Ir 2.41

Results
- energy relative to the elements, uncorrected (eV per atom) = -0.351
- density of states at the Fermi level (states/eV/cell) = 1.06
- calculated total energy (eV/atom) = -5.222



(2)
TlIrS2: relaxed, PBE-GGA.

a b c (Å): 3.6845 3.6845 21.5680
angles (deg): 90.00 90.00 120.00
With the nearest neighbours (Å) after each atom.
Space group R3m (No. 160, hexagonal axes)
Unique sites:
1 Tl 0.0000 0.0000 0.0000  6 S 3.21-3.29, 1 Ir 3.54
2 Ir 0.0000 0.0000 0.1639  6 S 2.41
3 S 0.0000 0.0000 0.5500  3 Ir 2.41
4 S 0.0000 0.0000 0.7783  3 Ir 2.41

Results
- energy relative to the elements, uncorrected (eV per atom) = -0.336
- density of states at the Fermi level (states/eV/cell) = 2.69
- calculated total energy (eV/atom) = -5.207



(3)
TlIrS2: relaxed, PBE-GGA.

a b c (Å): 3.5964 3.5964 25.2798
angles (deg): 90.00 90.00 120.00
With the nearest neighbours (Å) after each atom.
Space group R-3m (No. 166, hexagonal axes)
Unique sites:
1 Tl 0.0000 0.0000 0.0000  2 S 3.05
2 Ir 0.0000 0.0000 0.5000  6 S 2.38
3 S 0.0000 0.0000 0.1205  3 Ir 2.38

Results
- energy relative to the elements, uncorrected (eV per atom) = -0.291
- density of states at the Fermi level (states/eV/cell) = 9.59
- calculated total energy (eV/atom) = -5.162



(4)
TlIr5S8: relaxed, PBE-GGA.

a b c (Å): 3.5548 8.8638 9.2185
angles (deg): 71.88 86.09 79.60
With the nearest neighbours (Å) after each atom.
Space group P1 (No. 1)
Unique sites:
1 Tl 0.0000 0.0000 0.0000  5 S 3.26-3.51, 2 Tl 3.55
2 Ir 0.0223 0.6262 0.4677  4 S 2.31-2.42
3 Ir 0.1137 0.5758 0.8438  6 S 2.34-2.43
4 Ir 0.4188 0.9721 0.4851  6 S 2.33-2.46
5 Ir 0.6694 0.3785 0.1918  6 S 2.30-2.46
6 Ir 0.8784 0.3165 0.5820  4 S 2.26-2.37
7 S 0.1048 0.4315 0.3350  4 Ir 2.30-2.38
8 S 0.2162 0.3281 0.0381  3 Ir 2.35-2.40
9 S 0.4279 0.1375 0.6434  3 Ir 2.26-2.37
10 S 0.4767 0.7824 0.3430  3 Ir 2.31-2.41
11 S 0.5589 0.6402 0.9922  3 Ir 2.41-2.46
12 S 0.6814 0.4863 0.7215  3 Ir 2.26-2.38
13 S 0.8682 0.0983 0.3170  3 Ir 2.33-2.46
14 S 0.9761 0.8081 0.6188  4 Ir 2.36-2.43

Results
- energy relative to the elements, uncorrected (eV per atom) = -0.232
- density of states at the Fermi level (states/eV/cell) = 4.98
- calculated total energy (eV/atom) = -5.924